VASP calculation (PBE) on an optimized crystal structure of RuPt2I2.

Cell: 7.3557 7.3557 3.8772 Å, 90.00 90.00 90.00°
With the nearest neighbours (Å) after each atom.
Atoms (fractional coordinates):
1 I 0.3162 0.8162 0.0000  2 Ru 2.69, 2 Pt 2.71
2 I 0.8162 0.6838 0.0000  2 Ru 2.69, 2 Pt 2.71
3 I 0.6838 0.1838 0.0000  2 Ru 2.69, 2 Pt 2.71
4 I 0.1838 0.3162 0.0000  2 Ru 2.69, 2 Pt 2.71
5 Ru 0.0000 0.0000 0.0000  4 I 2.69
6 Ru 0.5000 0.5000 0.0000  4 I 2.69
7 Pt 0.1340 0.6340 0.5000  2 I 2.71, 1 Pt 2.79
8 Pt 0.6340 0.8660 0.5000  2 I 2.71, 1 Pt 2.79
9 Pt 0.8660 0.3660 0.5000  2 I 2.71, 1 Pt 2.79
10 Pt 0.3660 0.1340 0.5000  2 I 2.71, 1 Pt 2.79

Values from the calculation:
As for the energy above the most stable polymorph in this dataset: 0.045 eV per atom. The density of states at the Fermi level comes out at 4.09 states/eV/f.u. The value obtained for the size of the total moment is 0.0 μB per formula unit. The total energy is -3.9885 eV per atom. Its uncorrected formation energy is 0.9030 eV/atom.


VASP calculation (PBE) on an optimized crystal structure of Ru3PtI.

Cell: 4.9158 4.9158 4.9158 Å, 90.00 90.00 90.00°
With the nearest neighbours (Å) after each atom.
Atoms (fractional coordinates):
1 I 0.5000 0.5000 0.5000  12 Ru 3.48
2 Ru 0.0000 0.5000 0.0000  2 Pt 2.46
3 Ru 0.0000 0.0000 0.5000  2 Pt 2.46
4 Ru 0.5000 0.0000 0.0000  2 Pt 2.46
5 Pt 0.0000 0.0000 0.0000  6 Ru 2.46

Values from the calculation:
As for the energy above the most stable polymorph in this dataset: 0.000 eV per atom. The density of states at the Fermi level comes out at 6.85 states/eV/f.u. The value obtained for the size of the total moment is 7.2 μB per formula unit. The total energy is -5.2923 eV per atom. Its uncorrected formation energy is 1.7914 eV/atom.